Entry 1:
A relaxed AcBiPbO crystal. Source: the Alexandria database, functional PBE.

Cell: 9.3869 9.3869 9.3869 Å, 158.35 158.35 30.80°
Element x y z (fractional)
Ac1 0.0000 0.0000 0.0000
Bi1 0.6668 0.6668 0.0000
Pb1 0.3145 0.3145 0.0000
O1 0.4734 0.4734 0.0000

Values from the calculation:
Uncorrected formation energy = -28.8 kcal/mol of atoms
Magnetic moment = 0.00 μB/cell



Entry 2:
A relaxed Pu4Ga2C crystal. Source: the Alexandria database, functional PBE.

Cell: 8.1036 8.1036 8.1036 Å, 145.94 145.94 48.94°
Element x y z (fractional)
Pu1 0.0000 0.5000 0.5000
Pu2 0.1678 0.1678 0.0000
Pu3 0.5000 0.0000 0.5000
Pu4 0.8322 0.8322 0.0000
Ga1 0.3698 0.3698 0.0000
Ga2 0.6302 0.6302 0.0000
C1 0.0000 0.0000 0.0000

Values from the calculation:
Energy relative to the elements = -0.01 eV per atom
Magnetic moment = 20.99 μB/cell



Entry 3:
A relaxed UCoRh crystal. Source: the Alexandria database, functional PBE.

Cell: 8.1383 8.1383 8.1383 Å, 28.28 28.28 28.28°
Element x y z (fractional)
U1 0.0709 0.0709 0.0709
U2 0.9291 0.9291 0.9291
Co1 0.3201 0.3201 0.3201
Co2 0.6799 0.6799 0.6799
Rh1 0.2012 0.2012 0.2012
Rh2 0.7988 0.7988 0.7988

Values from the calculation:
Energy relative to the elements = -0.06 eV per atom
Magnetic moment = 1.53 μB/cell



Entry 4:
A relaxed CsCaNb crystal. Source: the Alexandria database, functional PBE.

Cell: 3.9507 5.1792 14.3124 Å, 79.65 89.58 90.00°
Element x y z (fractional)
Cs1 0.0000 0.0000 0.0000
Cs2 0.4871 0.6661 0.6742
Ca1 0.0025 0.3843 0.2335
Ca2 0.4969 0.2817 0.4406
Nb1 0.5009 0.8610 0.2806
Nb2 0.9979 0.8050 0.3936

Values from the calculation:
Energy relative to the elements = 0.57 eV per atom
Magnetic moment = 0.00 μB/cell



Entry 5:
A relaxed FeTcCl3 crystal. Source: the Alexandria database, functional PBE.

Cell: 4.7997 4.7997 4.7997 Å, 90.00 90.00 90.00°
Element x y z (fractional)
Fe1 0.0000 0.0000 0.0000
Tc1 0.5000 0.5000 0.5000
Cl1 0.0000 0.5000 0.5000
Cl2 0.5000 0.0000 0.5000
Cl3 0.5000 0.5000 0.0000

Values from the calculation:
Uncorrected formation energy = 11.4 kcal/mol of atoms
Magnetic moment = 3.74 μB/cell



Entry 6:
A relaxed SrTm2Tc crystal. Source: the Alexandria database, functional PBE.

Cell: 3.4915 3.4915 9.5336 Å, 90.00 90.00 90.00°
Element x y z (fractional)
Sr1 0.0000 0.0000 0.0000
Tm1 0.5000 0.5000 0.3346
Tm2 0.5000 0.5000 0.6654
Tc1 0.0000 0.0000 0.5000

Values from the calculation:
Energy relative to the elements = 0.02 eV per atom
Magnetic moment = 0.00 μB/cell



Entry 7:
A relaxed SrSmY crystal. Source: the Alexandria database, functional PBE.

Cell: 8.5424 8.5424 8.5424 Å, 154.56 154.56 36.28°
Element x y z (fractional)
Sr1 0.0000 0.0000 0.0000
Sm1 0.6802 0.6802 0.0000
Y1 0.3207 0.3207 0.0000

Values from the calculation:
Energy relative to the elements = 0.11 eV per atom
Magnetic moment = 0.00 μB/cell



Entry 8:
A relaxed Th4GePtSe2 crystal. Source: the Alexandria database, functional PBE.

Cell: 7.3648 4.1767 7.5257 Å, 90.00 108.90 90.00°
Element x y z (fractional)
Th1 0.2306 0.0000 0.2373
Th2 0.2410 0.5000 0.7477
Th3 0.7590 0.5000 0.2523
Th4 0.7694 0.0000 0.7627
Ge1 0.0000 0.0000 0.5000
Pt1 0.0000 0.5000 0.0000
Se1 0.5000 0.0000 0.0000
Se2 0.5000 0.5000 0.5000

Values from the calculation:
Uncorrected formation energy = -29.5 kcal/mol of atoms
Magnetic moment = 0.00 μB/cell